[1]
# HgPb2 | Alexandria | PBE | optimized geometry
data_HgPb2
_chemical_formula_sum 'Hg4 Pb8'
_cell_length_a 7.0408
_cell_length_b 5.0409
_cell_length_c 9.9288
_cell_angle_alpha 90.00
_cell_angle_beta 90.00
_cell_angle_gamma 90.00
_symmetry_space_group_name_H-M 'P n m a'
_symmetry_Int_Tables_number 62
loop_
_symmetry_equiv_pos_as_xyz
'x,y,z'
'-x,-y,-z'
'-x+1/2,-y,z+1/2'
'x+1/2,y,-z+1/2'
'x+1/2,-y+1/2,-z+1/2'
'-x+1/2,y+1/2,z+1/2'
'-x,y+1/2,-z'
'x,-y+1/2,z'
loop_
_atom_site_label
_atom_site_type_symbol
_atom_site_fract_x
_atom_site_fract_y
_atom_site_fract_z
_atom_site_occupancy
Hg1 Hg 0.1627 0.2500 0.0988 1
Pb1 Pb 0.0781 0.2500 0.7725 1
Pb2 Pb 0.1566 0.2500 0.4290 1
# **Energy above the most stable polymorph in this dataset**: 0 meV/atom
# **Formation enthalpy at 0 K**: 0.013 eV per atom
# **Calculated density**: 11.59 g cm⁻³
# **D(E_F)**: 0.341 states/eV per atom
# **Magnetization**: 0.0000 μB/atom


[2]
# DyMgRu2 | Alexandria | PBE | optimized geometry
data_DyMgRu2
_chemical_formula_sum 'Dy1 Mg1 Ru2'
_cell_length_a 4.5504
_cell_length_b 4.5504
_cell_length_c 3.4033
_cell_angle_alpha 90.00
_cell_angle_beta 90.00
_cell_angle_gamma 90.00
_symmetry_space_group_name_H-M 'P 4/m m m'
_symmetry_Int_Tables_number 123
_symmetry_space_group_name_Hall '-P 4 2'
loop_
_atom_site_label
_atom_site_type_symbol
_atom_site_fract_x
_atom_site_fract_y
_atom_site_fract_z
_atom_site_occupancy
Dy1 Dy 0.0000 0.0000 0.0000 1
Mg1 Mg 0.5000 0.5000 0.0000 1
Ru1 Ru 0.0000 0.5000 0.5000 1
# **Formation enthalpy at 0 K**: -0.031 eV per atom
# **Calculated density**: 9.17 g cm⁻³
# **D(E_F)**: 1.570 states/eV per atom
# **Magnetization**: 0.1599 μB/atom


[3]
# KSiAu3 | Alexandria | PBE | optimized geometry
data_KSiAu3
_chemical_formula_sum 'K6 Si6 Au18'
_cell_length_a 6.6819
_cell_length_b 6.6819
_cell_length_c 20.4294
_cell_angle_alpha 90.00
_cell_angle_beta 90.00
_cell_angle_gamma 120.00
_symmetry_space_group_name_H-M 'R -3 m'
_symmetry_Int_Tables_number 166
_symmetry_space_group_name_Hall '-R 3 2"'
loop_
_atom_site_label
_atom_site_type_symbol
_atom_site_fract_x
_atom_site_fract_y
_atom_site_fract_z
_atom_site_occupancy
K1 K 0.0000 0.0000 0.1120 1
Si1 Si 0.0000 0.0000 0.4412 1
Au1 Au 0.0541 0.5271 0.9314 1
# **Calculated density**: 8.30 g cm⁻³
# **D(E_F)**: 0.281 states/eV per atom
# **Magnetization**: 0.0000 μB/atom
# **Electronic total energy**: -103.8 eV per cell


[4]
# TbPm3Y5 | Alexandria | PBE | optimized geometry
data_TbPm3Y5
_chemical_formula_sum 'Tb2 Pm6 Y10'
_cell_length_a 9.8257
_cell_length_b 9.8257
_cell_length_c 7.1054
_cell_angle_alpha 90.00
_cell_angle_beta 90.00
_cell_angle_gamma 120.00
_symmetry_space_group_name_H-M 'P 63/m c m'
_symmetry_Int_Tables_number 193
_symmetry_space_group_name_Hall '-P 6c 2'
loop_
_atom_site_label
_atom_site_type_symbol
_atom_site_fract_x
_atom_site_fract_y
_atom_site_fract_z
_atom_site_occupancy
Tb1 Tb 0.0000 0.0000 0.0000 1
Pm1 Pm 0.0000 0.3586 0.2500 1
Y1 Y 0.0000 0.3083 0.7500 1
Y2 Y 0.3333 0.6667 0.0000 1
# **Formation enthalpy at 0 K**: 0.050 eV per atom
# **Calculated density**: 5.81 g cm⁻³
# **D(E_F)**: 1.519 states/eV per atom
# **Magnetization**: 0.0000 μB/atom


[5]
# ZnFeOs2 | Alexandria | PBE | optimized geometry
data_ZnFeOs2
_chemical_formula_sum 'Zn2 Fe2 Os4'
_cell_length_a 8.7797
_cell_length_b 2.7048
_cell_length_c 4.6907
_cell_angle_alpha 90.00
_cell_angle_beta 100.87
_cell_angle_gamma 90.00
_symmetry_space_group_name_H-M 'C 1 2/m 1'
_symmetry_Int_Tables_number 12
loop_
_symmetry_equiv_pos_as_xyz
'x,y,z'
'-x,-y,-z'
'-x,y,-z'
'x,-y,z'
'x+1/2,y+1/2,z'
'-x+1/2,-y+1/2,-z'
'-x+1/2,y+1/2,-z'
'x+1/2,-y+1/2,z'
loop_
_atom_site_label
_atom_site_type_symbol
_atom_site_fract_x
_atom_site_fract_y
_atom_site_fract_z
_atom_site_occupancy
Zn1 Zn 0.0000 0.0000 0.0000 1
Fe1 Fe 0.0000 0.5000 0.5000 1
Os1 Os 0.2392 0.0000 0.7383 1
# **Formation enthalpy at 0 K**: 0.208 eV per atom
# **Calculated density**: 15.23 g cm⁻³
# **D(E_F)**: 1.090 states/eV per atom
# **Magnetization**: 0.5322 μB/atom


[6]
# TcNiB | Alexandria | PBE | optimized geometry
data_TcNiB
_chemical_formula_sum 'Tc4 Ni4 B4'
_cell_length_a 3.0239
_cell_length_b 8.4446
_cell_length_c 4.7907
_cell_angle_alpha 90.00
_cell_angle_beta 90.00
_cell_angle_gamma 90.00
_symmetry_space_group_name_H-M 'C m c m'
_symmetry_Int_Tables_number 63
_symmetry_space_group_name_Hall '-C 2c 2'
loop_
_atom_site_label
_atom_site_type_symbol
_atom_site_fract_x
_atom_site_fract_y
_atom_site_fract_z
_atom_site_occupancy
Tc1 Tc 0.0000 0.2182 0.2500 1
Ni1 Ni 0.0000 0.5000 0.0000 1
B1 B 0.0000 0.0974 0.7500 1
# **Energy above the most stable polymorph in this dataset**: 45 meV/atom
# **Formation enthalpy at 0 K**: -0.253 eV per atom
# **Calculated density**: 9.09 g cm⁻³
# **D(E_F)**: 0.701 states/eV per atom
# **Magnetization**: 0.0000 μB/atom


[7]
# TlNi3N | Alexandria | PBE | optimized geometry
data_TlNi3N
_chemical_formula_sum 'Tl1 Ni3 N1'
_cell_length_a 3.9065
_cell_length_b 3.9065
_cell_length_c 3.9065
_cell_angle_alpha 90.00
_cell_angle_beta 90.00
_cell_angle_gamma 90.00
_symmetry_space_group_name_H-M 'P m -3 m'
_symmetry_Int_Tables_number 221
_symmetry_space_group_name_Hall '-P 4 2 3'
loop_
_atom_site_label
_atom_site_type_symbol
_atom_site_fract_x
_atom_site_fract_y
_atom_site_fract_z
_atom_site_occupancy
Tl1 Tl 0.0000 0.0000 0.0000 1
Ni1 Ni 0.0000 0.5000 0.5000 1
N1 N 0.5000 0.5000 0.5000 1
# **Energy above the most stable polymorph in this dataset**: 0 meV/atom
# **Calculated density**: 10.99 g cm⁻³
# **D(E_F)**: 0.392 states/eV per atom
# **Magnetization**: 0.0000 μB/atom


[8]
# Hg9As4O16 | Alexandria | PBE | optimized geometry
data_Hg9As4O16
_chemical_formula_sum 'Hg54 As24 O96'
_cell_length_a 17.3057
_cell_length_b 17.3057
_cell_length_c 11.0703
_cell_angle_alpha 90.00
_cell_angle_beta 90.00
_cell_angle_gamma 120.00
_symmetry_space_group_name_H-M 'R 3 c'
_symmetry_Int_Tables_number 161
_symmetry_space_group_name_Hall 'R 3 -2"c'
loop_
_atom_site_label
_atom_site_type_symbol
_atom_site_fract_x
_atom_site_fract_y
_atom_site_fract_z
_atom_site_occupancy
Hg1 Hg 0.0567 0.1673 0.0000 1
Hg2 Hg 0.1435 0.3877 0.6884 1
Hg3 Hg 0.1749 0.4609 0.4626 1
As1 As 0.0000 0.0000 0.2149 1
As2 As 0.0270 0.2615 0.2958 1
O1 O 0.0000 0.0000 0.3679 1
O2 O 0.0109 0.1956 0.4204 1
O3 O 0.0559 0.3690 0.3352 1
O4 O 0.0694 0.5085 0.8619 1
O5 O 0.0977 0.0112 0.6512 1
O6 O 0.1256 0.3805 0.8951 1
# **Calculated density**: 8.19 g cm⁻³
# **D(E_F)**: 0.000 states/eV per atom
# **Magnetization**: 0.0000 μB/atom
# **Electronic total energy**: -733.5 eV per cell